Computed, not measured: a relaxed Li2Tm3Ga4 crystal at the GGA-PBE level of DFT.

Results
DFT total energy ... -33.64 eV for the cell shown
SG ... No. 12
Theoretical density ... 7407 kg/m³
Density of states at the Fermi level ... 3.89 states/eV per cell

a b c (Å): 5.6411 5.6411 8.5836
angles (deg): 114.13 114.13 47.15
Last column: nearest neighbours and their distance in Å.
Fractional positions:
Li (0.1087, 0.1087, 0.2785)  3 Ga 2.60-2.61
Li (0.8913, 0.8913, 0.7215)  3 Ga 2.60-2.61
Tm (0.1672, 0.1672, 0.6602)  8 Ga 3.03-3.32, 4 Li 3.06-3.12, 2 Tm 3.32-3.38
Tm (0.5000, 0.5000, 0.0000)  8 Ga 3.05-3.18, 4 Li 3.11, 2 Tm 3.38
Tm (0.8328, 0.8328, 0.3398)  8 Ga 3.03-3.32, 4 Li 3.06-3.12, 2 Tm 3.32-3.38
Ga (0.2379, 0.2379, 0.0775)  1 Li 2.61, 2 Ga 2.69
Ga (0.4560, 0.4560, 0.6240)  2 Li 2.60, 1 Ga 2.66
Ga (0.5440, 0.5440, 0.3760)  2 Li 2.60, 1 Ga 2.66
Ga (0.7621, 0.7621, 0.9225)  1 Li 2.61, 2 Ga 2.69